1.
First-principles (PBE-GGA) data for HoAgSnHg after structural relaxation, as listed in Alexandria via LeMat-Bulk.

Structure (CIF):
```
data_HoAgSnHg
_chemical_formula_sum 'Ho4 Ag4 Sn4 Hg4'
_symmetry_space_group_name_H-M 'F -4 3 m'
_symmetry_Int_Tables_number 216
_symmetry_space_group_name_Hall 'F -4 2 3'
_cell_length_a 7.2009
_cell_length_b 7.2009
_cell_length_c 7.2009
_cell_angle_alpha 90.00
_cell_angle_beta 90.00
_cell_angle_gamma 90.00
loop_
_atom_site_label
_atom_site_fract_x
_atom_site_fract_y
_atom_site_fract_z
_atom_site_occupancy
Ho1 0.0000 0.0000 0.0000 1
Ag1 0.0000 0.0000 0.5000 1
Sn1 0.2500 0.2500 0.2500 1
Hg1 0.2500 0.2500 0.7500 1
```

Calculated values
Energy of formation: -127 kJ/mol of formula units
Raw total energy: -3.263 eV/atom

2.
First-principles (PBE-GGA) data for LaSm15Ho4 after structural relaxation, as listed in Alexandria via LeMat-Bulk.

Structure (CIF):
```
data_LaSm15Ho4
_chemical_formula_sum 'La1 Sm15 Ho4'
_symmetry_space_group_name_H-M 'P 4/m m m'
_symmetry_Int_Tables_number 123
_symmetry_space_group_name_Hall '-P 4 2'
_cell_length_a 5.1138
_cell_length_b 5.1138
_cell_length_c 25.5679
_cell_angle_alpha 90.00
_cell_angle_beta 90.00
_cell_angle_gamma 90.00
loop_
_atom_site_label
_atom_site_fract_x
_atom_site_fract_y
_atom_site_fract_z
_atom_site_occupancy
La1 0.0000 0.0000 0.0000 1
Sm1 0.0000 0.5000 0.1027 1
Sm2 0.0000 0.5000 0.3013 1
Sm3 0.0000 0.5000 0.5000 1
Sm4 0.5000 0.5000 0.0000 1
Sm5 0.5000 0.5000 0.2028 1
Sm6 0.5000 0.5000 0.4007 1
Ho1 0.0000 0.0000 0.2018 1
Ho2 0.0000 0.0000 0.4007 1
```

Calculated values
Energy of formation: 35 kJ/mol of formula units
Raw total energy: -4.683 eV/atom

3.
First-principles (PBE-GGA) data for Cs2LiAu after structural relaxation, as listed in Alexandria via LeMat-Bulk.

Structure (CIF):
```
data_Cs2LiAu
_chemical_formula_sum 'Cs6 Li3 Au3'
_symmetry_space_group_name_H-M 'R -3 m'
_symmetry_Int_Tables_number 166
_symmetry_space_group_name_Hall '-R 3 2"'
_cell_length_a 4.7430
_cell_length_b 4.7430
_cell_length_c 37.0700
_cell_angle_alpha 90.00
_cell_angle_beta 90.00
_cell_angle_gamma 120.00
loop_
_atom_site_label
_atom_site_fract_x
_atom_site_fract_y
_atom_site_fract_z
_atom_site_occupancy
Cs1 0.0000 0.0000 0.1063 1
Li1 0.0000 0.0000 0.0000 1
Au1 0.0000 0.0000 0.5000 1
```

Calculated values
Energy of formation: 19 kJ/mol of formula units
Raw total energy: -1.675 eV/atom